Here is YCu2Re after structural relaxation from the Alexandria database. Energies are from PBE.

Cell: 2.8906 2.8906 27.2979 Å, 90.00 90.00 120.00°
Space group R3m (No. 160, hexagonal axes)
Symmetry-distinct sites (fractional):
Y 0.0000 0.0000 0.0000 x3
Cu 0.0000 0.0000 0.4951 x3
Cu 0.0000 0.0000 0.7585 x3
Re 0.0000 0.0000 0.2373 x3

Summary:
- Magnetization: 0.0 μB/cell
- Calculated formation energy: 0.535 eV/atom
- E above lowest polymorph: 271 meV per atom
- Fermi-level density of states: 3.7 states/eV/f.u.